[1]
A geometry-optimized V3IrPt structure, computed with PBE.

Geometry as POSCAR:
```
V3IrPt
1.0
5.365 -0.010 -0.008
-0.004 8.077 1.366
-0.004 2.978 7.632
Pt V Ir
4 12 4
direct
0.750 0.000 0.500
0.250 0.000 0.500
0.250 0.500 0.000
0.750 0.500 0.000
0.052 0.850 0.321
0.046 0.330 0.330
0.948 0.150 0.679
0.954 0.670 0.670
0.948 0.679 0.150
0.448 0.150 0.679
0.052 0.321 0.850
0.448 0.679 0.150
0.552 0.321 0.850
0.454 0.670 0.670
0.546 0.330 0.330
0.552 0.850 0.321
0.250 0.000 0.000
0.750 0.500 0.500
0.250 0.500 0.500
0.750 0.000 0.000
```

Output
The calculation puts the total magnetization at 0.0 Bohr magnetons per cell. For the energy of formation, the calculation gives -18 kJ/mol of atoms. For the volume, the calculation gives 15.445 Å³ per atom. As for the space group: C2/m, No. 12.

---

[2]
A geometry-optimized Hf3HgMo structure, computed with PBE.

Geometry as POSCAR:
```
Hf3HgMo
1.0
-4.152 2.813 0.310
-2.180 -3.530 2.834
1.804 2.208 4.138
Hf Hg Mo
3 1 1
direct
0.000 0.500 0.000
0.500 0.000 0.000
0.000 0.000 0.500
0.500 0.500 0.500
0.000 0.000 0.000
```

Output
The calculation puts the total magnetization at 0.0 Bohr magnetons per cell. For the energy of formation, the calculation gives 74 kJ/mol of atoms. For the volume, the calculation gives 25.375 Å³ per atom. As for the space group: Pm-3m, No. 221.

---

[3]
A geometry-optimized Ba2PaTaO6 structure, computed with PBE.

Geometry as POSCAR:
```
Ba2PaTaO6
1.0
4.305 0.000 0.000
0.000 4.305 0.000
0.000 0.000 8.704
O Ba Ta Pa
6 2 1 1
direct
0.500 0.000 0.500
0.500 0.500 0.740
0.000 0.500 0.500
0.500 0.000 0.000
0.000 0.500 0.000
0.500 0.500 0.260
0.000 0.000 0.277
0.000 0.000 0.723
0.500 0.500 0.500
0.500 0.500 0.000
```

Output
The value obtained for the electronic total energy is -84.48 eV per cell. The calculation puts the total magnetization at 1.0 Bohr magnetons per cell. For the volume, the calculation gives 16.129 Å³ per atom. As for the space group: P4/mmm, No. 123.

---

[4]
A geometry-optimized CaSn2 structure, computed with PBE.

Geometry as POSCAR:
```
CaSn2
1.0
3.989 0.000 0.000
0.000 3.989 0.000
-1.995 -1.995 5.430
Ca Sn
1 2
direct
0.000 0.000 0.000
0.690 0.690 0.380
0.310 0.310 0.620
```

Output
The calculation puts the total magnetization at 0.0 Bohr magnetons per cell. For the energy of formation, the calculation gives -36 kJ/mol of atoms. For the volume, the calculation gives 28.803 Å³ per atom. As for the space group: I4/mmm, No. 139.

---

[5]
A geometry-optimized GaSiPRu2 structure, computed with PBE.

Geometry as POSCAR:
```
GaSiPRu2
1.0
4.402 0.000 0.000
0.000 4.396 0.000
0.000 0.000 4.402
Ga Ru Si P
1 2 1 1
direct
0.500 0.500 0.500
0.000 0.000 0.500
0.500 0.000 0.000
0.000 0.500 0.000
0.000 0.000 0.000
```

Output
The value obtained for the electronic total energy is -29.63 eV per cell. The calculation puts the total magnetization at 0.0 Bohr magnetons per cell. For the volume, the calculation gives 17.035 Å³ per atom. As for the space group: P4/mmm, No. 123.

---

[6]
A geometry-optimized PuGa3H structure, computed with PBE.

Geometry as POSCAR:
```
PuGa3H
1.0
-4.170 0.177 1.284
1.231 -0.808 4.111
0.404 4.287 0.722
H Pu Ga
1 1 3
direct
0.000 0.000 0.000
0.500 0.500 0.500
0.500 0.000 0.000
0.000 0.500 0.000
0.000 0.000 0.500
```

Output
The value obtained for the electronic total energy is -26.95 eV per cell. The calculation puts the total magnetization at 5.8 Bohr magnetons per cell. For the volume, the calculation gives 16.651 Å³ per atom. As for the space group: Pm-3m, No. 221.

---

[7]
A geometry-optimized LaPmDy3Er structure, computed with PBE.

Geometry as POSCAR:
```
LaPmDy3Er
1.0
5.671 0.000 0.000
-2.836 9.777 1.620
0.000 -1.236 6.970
Dy Er Pm La
6 2 2 2
direct
0.523 0.045 0.736
0.477 0.955 0.264
0.836 0.671 0.272
0.220 0.440 0.245
0.164 0.329 0.728
0.780 0.560 0.755
0.350 0.700 0.540
0.650 0.300 0.460
0.053 0.105 0.268
0.947 0.895 0.732
0.355 0.709 0.970
0.645 0.291 0.030
```

Output
The calculation puts the total magnetization at 0.0 Bohr magnetons per cell. For the energy of formation, the calculation gives 19 kJ/mol of atoms. For the volume, the calculation gives 33.150 Å³ per atom. As for the space group: C2/m, No. 12.

---

[8]
A geometry-optimized YAgPb2S4 structure, computed with PBE.

Geometry as POSCAR:
```
YAgPb2S4
1.0
4.078 0.000 0.000
0.000 7.193 -0.186
0.000 2.490 6.544
S Ag Pb Y
4 1 2 1
direct
0.500 0.272 0.735
0.000 0.273 0.248
0.500 0.728 0.265
0.000 0.727 0.752
0.500 0.500 0.000
0.000 0.000 0.000
0.500 0.000 0.500
0.000 0.500 0.500
```

Output
The value obtained for the electronic total energy is -40.20 eV per cell. The calculation puts the total magnetization at 0.0 Bohr magnetons per cell. For the volume, the calculation gives 24.230 Å³ per atom. As for the space group: P2/m, No. 10.

---

[9]
A geometry-optimized Rb2SrGeBr6 structure, computed with PBE.

Geometry as POSCAR:
```
Rb2SrGeBr6
1.0
-0.348 -3.520 -7.099
6.495 -4.645 1.985
-6.967 -7.878 4.362
Rb Br Sr Ge
4 12 2 2
direct
0.479 0.435 0.252
0.021 0.935 0.248
0.521 0.565 0.748
0.979 0.065 0.752
0.211 0.195 0.454
0.691 0.287 0.547
0.711 0.305 0.954
0.809 0.787 0.953
0.191 0.213 0.047
0.409 0.979 0.740
0.091 0.479 0.760
0.909 0.521 0.240
0.309 0.713 0.453
0.289 0.695 0.046
0.789 0.805 0.546
0.591 0.021 0.260
0.500 0.000 0.000
0.000 0.500 0.500
0.500 0.000 0.500
0.000 0.500 0.000
```

Output
The value obtained for the electronic total energy is -66.76 eV per cell. The calculation puts the total magnetization at 0.0 Bohr magnetons per cell. For the volume, the calculation gives 37.150 Å³ per atom. As for the space group: P2_1/c, No. 14.

---

[10]
A geometry-optimized PmCdRu2O8 structure, computed with PBE.

Geometry as POSCAR:
```
PmCdRu2O8
1.0
-4.099 -2.582 3.558
4.857 -3.092 -1.725
3.298 2.179 5.380
O Ru Pm Cd
8 2 1 1
direct
0.164 0.836 0.738
0.164 0.329 0.738
0.333 0.667 0.079
0.836 0.671 0.262
0.667 0.333 0.921
0.329 0.164 0.262
0.836 0.164 0.262
0.671 0.836 0.738
0.333 0.667 0.817
0.667 0.333 0.183
0.000 0.000 0.500
0.000 0.000 0.000
```

Output
The value obtained for the electronic total energy is -78.64 eV per cell. The calculation puts the total magnetization at 3.1 Bohr magnetons per cell. For the volume, the calculation gives 17.408 Å³ per atom. As for the space group: P-3m1, No. 164.

---

[11]
A geometry-optimized Cd6PdAu structure, computed with PBE.

Geometry as POSCAR:
```
Cd6PdAu
1.0
5.145 -0.001 0.018
2.565 6.509 1.359
2.554 3.598 5.599
Cd Au Pd
6 1 1
direct
0.884 0.619 0.618
0.620 0.882 0.881
0.116 0.381 0.382
0.260 0.743 0.745
0.380 0.118 0.119
0.740 0.257 0.255
0.000 0.000 0.000
0.500 0.500 0.500
```

Output
The calculation puts the total magnetization at 0.0 Bohr magnetons per cell. For the energy of formation, the calculation gives -13 kJ/mol of atoms. For the volume, the calculation gives 20.280 Å³ per atom. As for the space group: P-1, No. 2.

---

[12]
A geometry-optimized Sr2GaBr structure, computed with PBE.

Geometry as POSCAR:
```
Sr2GaBr
1.0
4.510 0.000 0.000
0.000 5.908 -2.527
0.000 -0.656 10.155
Br Sr Ga
2 4 2
direct
0.750 0.195 0.920
0.250 0.805 0.080
0.250 0.979 0.649
0.750 0.021 0.351
0.250 0.391 0.202
0.750 0.609 0.798
0.750 0.587 0.459
0.250 0.413 0.541
```

Output
The value obtained for the electronic total energy is -24.22 eV per cell. The calculation puts the total magnetization at 0.0 Bohr magnetons per cell. For the volume, the calculation gives 32.886 Å³ per atom. As for the space group: P2_1/m, No. 11.